1.
CoBiP2Cl after structural relaxation. Source: the Alexandria database, functional PBE.

The structure in extended XYZ format:
```
5
Lattice="-1.740 -3.734 -1.710 1.125 -2.219 3.702 -4.220 1.082 1.931" Properties=species:S:1:pos:R:3 pbc="T T T"
P 0.562 -1.110 1.851
P -0.870 -1.867 -0.855
Co 0.000 0.000 0.000
Bi -2.418 -2.436 1.962
Cl -2.110 0.541 0.966
```

energy above the most stable polymorph in this dataset = 0 meV per atom
V = 94.8 Å³/cell
N(E_F) = 6.59 states/eV/cell
E_form (uncorrected) = 0.28 eV/atom
crystal system = tetragonal


2.
CoBiPCl2 after structural relaxation. Source: the Alexandria database, functional PBE.

The structure in extended XYZ format:
```
5
Lattice="5.311 0.000 0.000 0.000 5.311 0.000 0.000 0.000 5.542" Properties=species:S:1:pos:R:3 pbc="T T T"
P 0.000 0.000 2.771
Co 2.656 2.656 2.771
Bi 0.000 0.000 0.000
Cl 0.000 2.656 0.000
Cl 2.656 0.000 0.000
```

energy above the most stable polymorph in this dataset = 701 meV per atom
V = 156.3 Å³/cell
N(E_F) = 11.67 states/eV/cell
E_form (uncorrected) = 0.76 eV/atom
crystal system = tetragonal


3.
CoBiP2Cl after structural relaxation. Source: the Alexandria database, functional PBE.

The structure in extended XYZ format:
```
5
Lattice="-1.003 -5.176 0.564 4.481 -1.150 -2.590 2.629 -0.014 4.554" Properties=species:S:1:pos:R:3 pbc="T T T"
P 2.240 -0.575 -1.295
P -0.501 -2.588 0.282
Co 3.054 -3.170 1.263
Bi 0.000 0.000 0.000
Cl 1.315 -0.007 2.277
```

energy above the most stable polymorph in this dataset = 1084 meV per atom
V = 147.8 Å³/cell
N(E_F) = 5.57 states/eV/cell
E_form (uncorrected) = 1.36 eV/atom
crystal system = tetragonal